1.
## TbDyMgCd (PBE)

Data for crystalline TbDyMgCd at its relaxed geometry.

## Properties
Calculated density (g cm⁻³): 7.11
Space group: F-43m
Formation enthalpy at 0 K (eV per atom): -0.201

Cell and atoms, written as POSCAR:
```
TbDyMgCd
1.0
5.3291 0.0000 0.0000
2.6646 4.6151 0.0000
2.6646 1.5384 4.3512
Tb Mg Dy Cd
1 1 1 1
direct
0.5000 0.5000 0.5000 Tb
0.7500 0.7500 0.7500 Mg
0.0000 0.0000 0.0000 Dy
0.2500 0.2500 0.2500 Cd
```

2.
## YTmInAu (PBE)

Data for crystalline YTmInAu at its relaxed geometry.

## Properties
Calculated density (g cm⁻³): 9.56
Space group: F-43m
Energy above the most stable polymorph in this dataset (meV per atom): 51
Formation enthalpy at 0 K (eV per atom): -0.631

Cell and atoms, written as POSCAR:
```
YTmInAu
1.0
-2.0598 -0.1945 4.7624
1.8952 -3.3189 3.5148
2.6910 1.7823 4.0673
Au Y In Tm
1 1 1 1
direct
0.5000 0.5000 0.5000 Au
0.7500 0.7500 0.7500 Y
0.0000 0.0000 0.0000 In
0.2500 0.2500 0.2500 Tm
```

3.
## La2AsN (PBE)

Data for crystalline La2AsN at its relaxed geometry.

## Properties
Raw formation energy (eV/f.u.): -5.3
Calculated density (g cm⁻³): 5.98
Space group: I-42d
Energy above the most stable polymorph in this dataset (meV per atom): 31

Cell and atoms, written as POSCAR:
```
La2AsN
1.0
-3.9696 1.1051 -5.7299
0.1449 -6.9092 -1.4329
-5.2896 -3.4367 -1.3448
As N La
2 2 4
direct
0.0000 0.0000 0.0000 As
0.7500 0.2500 0.5000 As
0.5000 0.5000 0.0000 N
0.2500 0.7500 0.5000 N
0.5553 0.1250 0.2500 La
0.8750 0.8053 0.7500 La
0.3750 0.4447 0.7500 La
0.1947 0.6250 0.2500 La
```

Question: Which of these has the highest calculated density?
Answer: YTmInAu

Question: What is the formula in the third record?
Answer: La2AsN